# Ac3Er

Ac3Er after structural relaxation (GGA-PBE, Alexandria).

D(E_F) = 7.09 states/eV/f.u.
formation enthalpy at 0 K = 55 meV/atom
space-group type = I4/mmm (139)
electronic total energy = -4.17 eV per atom
excess energy over the best structure of this formula in the dataset = 0.061 eV/f.u.

Cell: 5.4898 5.4898 6.6927 Å, 114.21 114.21 90.00°
Closest atoms and distances in Å follow each position.
Element x y z (fractional)
Ac: 0.7500 0.2500 0.5000  8 Ac 3.87-3.88, 4 Er 3.87
Ac: 0.2500 0.7500 0.5000  8 Ac 3.87-3.88, 4 Er 3.87
Ac: 0.5000 0.5000 0.0000  8 Ac 3.87, 4 Er 3.88
Er: 0.0000 0.0000 0.0000  12 Ac 3.87-3.88